{"formula": "MnNbSCl2", "functional": "PBE", "state": "optimized geometry", "lattice_angstrom": [[4.9610, 0.0000, 0.0000], [0.0000, 4.9610, 0.0000], [0.0000, 0.0000, 4.8297]], "species": ["Mn", "Nb", "S", "Cl", "Cl"], "fractional_positions": [[0.0000, 0.0000, 0.0000], [0.5000, 0.5000, 0.5000], [0.5000, 0.5000, 0.0000], [0.0000, 0.5000, 0.5000], [0.5000, 0.0000, 0.5000]], "spacegroup": "P4/mmm, No. 123", "dft_energy_ev_per_atom": -5.5636, "polymorph_energy_ev_per_atom": 0.000, "rho_g_cm3": 3.50, "dos_at_fermi_per_ev_cell": 3.89, "magnetic_moment_mub_per_fu": 6.38, "raw_formation_energy_mev_per_atom": -151.6}